Entry 1:
# V2Ru3Pt2

A relaxed structure of V2Ru3Pt2 (PBE, the Alexandria database).

Computed properties:
Symmetry: Cmmm
Fermi-level density of states (states/eV per cell): 17.06

POSCAR file:
```
V2Ru3Pt2
1.0
2.7162 0.0000 0.0000
0.0000 27.3496 0.0000
0.0000 0.0000 2.7215
V Ru Pt
4 6 4
Cartesian
0.0000 3.7672 0.0000
0.0000 23.5824 0.0000
1.3581 9.9076 0.0000
1.3581 17.4420 0.0000
0.0000 0.0000 0.0000
0.0000 11.7865 1.3608
0.0000 15.5631 1.3608
1.3581 1.8883 1.3608
1.3581 13.6748 0.0000
1.3581 25.4613 1.3608
0.0000 8.0641 1.3608
0.0000 19.2855 1.3608
1.3581 5.6107 1.3608
1.3581 21.7389 1.3608
```

=====

Entry 2:
# V2Ru2Pt

A relaxed structure of V2Ru2Pt (PBE, the Alexandria database).

Computed properties:
Symmetry: C2/m
Energy above the most stable polymorph in this dataset (meV/atom): 0
Fermi-level density of states (states/eV per cell): 10.48

POSCAR file:
```
V2Ru2Pt
1.0
8.4120 0.0000 0.0000
0.0000 3.9150 0.0000
-3.8082 0.0000 4.2819
V Ru Pt
4 4 2
Cartesian
-0.3114 0.0000 1.2022
0.7092 1.9575 3.0797
3.8946 1.9575 1.2022
4.9152 0.0000 3.0797
1.2428 1.9575 0.5508
-0.8449 0.0000 3.7311
5.4487 0.0000 0.5508
3.3610 1.9575 3.7311
-1.9041 1.9575 2.1410
2.3019 0.0000 2.1410
```

=====

Entry 3:
# V6Ru5Pt

A relaxed structure of V6Ru5Pt (PBE, the Alexandria database).

Computed properties:
Symmetry: Immm
Energy above the most stable polymorph in this dataset (meV/atom): 0
Fermi-level density of states (states/eV per cell): 14.44

POSCAR file:
```
V6Ru5Pt
1.0
-2.0338 3.3447 6.1058
2.0338 -3.3447 6.1058
2.0338 3.3447 -6.1058
V Ru Pt
6 5 1
Cartesian
2.0338 1.6160 -2.0604
0.0000 1.5630 0.0000
2.0338 1.6160 2.0604
0.0000 1.7288 4.0453
0.0000 5.1265 0.0000
0.0000 1.7288 8.1662
2.0338 0.0000 0.0000
0.0000 0.0000 2.1366
2.0338 0.0000 4.1988
0.0000 3.3447 1.9069
0.0000 0.0000 10.0750
0.0000 0.0000 6.1058
```

=====

Entry 4:
# V5Ru6Pt

A relaxed structure of V5Ru6Pt (PBE, the Alexandria database).

Computed properties:
Symmetry: Immm
Fermi-level density of states (states/eV per cell): 11.61

POSCAR file:
```
V5Ru6Pt
1.0
-2.0481 3.3303 6.1147
2.0481 -3.3303 6.1147
2.0481 3.3303 -6.1147
V Ru Pt
5 6 1
Cartesian
0.0000 0.0000 0.0000
2.0481 0.0000 2.2532
0.0000 0.0000 4.3432
0.0000 0.0000 7.8862
0.0000 3.3303 3.8615
2.0481 -1.8138 4.0402
2.0481 1.4453 0.0000
0.0000 1.5165 2.0745
2.0481 1.8138 4.0402
0.0000 1.8851 6.1147
0.0000 5.1442 2.0745
0.0000 3.3303 0.0000
```

=====

Entry 5:
# V9Ru4Pt11

A relaxed structure of V9Ru4Pt11 (PBE, the Alexandria database).

Computed properties:
Symmetry: Cmmm
Fermi-level density of states (states/eV per cell): 25.35

POSCAR file:
```
V9Ru4Pt11
1.0
5.5066 -8.2357 0.0000
5.5066 8.2357 0.0000
0.0000 0.0000 3.9550
V Ru Pt
9 4 11
Cartesian
0.0000 0.0000 0.0000
4.1884 4.1278 0.0000
4.0837 1.2832 0.0000
6.8247 4.1278 0.0000
4.0837 -1.2832 0.0000
6.9295 1.2832 0.0000
4.1884 -4.1278 0.0000
6.9295 -1.2832 0.0000
6.8247 -4.1278 0.0000
1.6002 1.6185 0.0000
1.6002 -1.6185 0.0000
9.4130 1.6185 0.0000
9.4130 -1.6185 0.0000
2.8274 2.7644 1.9775
5.5066 5.5113 1.9775
2.7026 0.0000 1.9775
5.5066 2.7307 1.9775
2.8274 -2.7644 1.9775
5.5066 0.0000 1.9775
8.1858 2.7644 1.9775
5.5066 -2.7307 1.9775
8.3106 0.0000 1.9775
5.5066 -5.5113 1.9775
8.1858 -2.7644 1.9775
```

=====

Entry 6:
# VRuPt2

A relaxed structure of VRuPt2 (PBE, the Alexandria database).

Computed properties:
Symmetry: Pmmn
Fermi-level density of states (states/eV per cell): 8.42

POSCAR file:
```
VRuPt2
1.0
4.3782 0.0000 0.0000
0.0000 5.4441 0.0000
0.0000 0.0000 4.8583
V Ru Pt
2 2 4
Cartesian
1.0946 1.3610 0.7564
3.2837 4.0831 4.1019
1.0946 4.0831 0.7744
3.2837 1.3610 4.0838
1.0946 0.0060 3.2508
1.0946 2.7160 3.2508
3.2837 2.7281 1.6074
3.2837 5.4381 1.6074
```

=====

Entry 7:
# V2Ru3Pt3

A relaxed structure of V2Ru3Pt3 (PBE, the Alexandria database).

Computed properties:
Symmetry: Pmmm
Fermi-level density of states (states/eV per cell): 5.24

POSCAR file:
```
V2Ru3Pt3
1.0
3.8385 0.0000 0.0000
0.0000 3.9066 0.0000
0.0000 0.0000 7.6113
V Ru Pt
2 3 3
Cartesian
0.0000 0.0000 1.8405
0.0000 0.0000 5.7708
0.0000 1.9533 0.0000
1.9193 0.0000 0.0000
1.9193 0.0000 3.8057
0.0000 1.9533 3.8057
1.9193 1.9533 1.8926
1.9193 1.9533 5.7187
```

=====

Entry 8:
# V2RuPt2

A relaxed structure of V2RuPt2 (PBE, the Alexandria database).

Computed properties:
Symmetry: C2/m
Energy above the most stable polymorph in this dataset (meV/atom): 0
Fermi-level density of states (states/eV per cell): 11.18

POSCAR file:
```
V2RuPt2
1.0
8.5566 0.0000 0.0000
0.0000 3.7971 0.0000
-4.0951 0.0000 4.4111
V Ru Pt
4 2 4
Cartesian
-0.4693 0.0000 1.3231
0.6526 1.8986 3.0880
3.8090 1.8986 1.3231
4.9309 0.0000 3.0880
-2.0475 1.8986 2.2056
2.2308 0.0000 2.2056
1.2510 1.8986 0.4809
-1.0678 0.0000 3.9302
5.5294 0.0000 0.4809
3.2105 1.8986 3.9302
```

=====

Entry 9:
# V2Ru4Pt

A relaxed structure of V2Ru4Pt (PBE, the Alexandria database).

Computed properties:
Symmetry: P-1
Fermi-level density of states (states/eV per cell): 5.35

POSCAR file:
```
V2Ru4Pt
1.0
4.7278 0.0000 0.0000
-2.3024 4.6450 0.0000
-1.1006 -2.1497 4.6917
V Ru Pt
2 4 1
Cartesian
0.0893 0.0840 1.9827
1.2355 2.4113 2.7090
-1.1122 2.3978 1.9317
-2.1000 1.9251 4.6592
3.4248 0.5702 0.0325
2.4371 0.0975 2.7600
1.2127 2.3225 0.0000
```

=====

Entry 10:
# VRuPt2

A relaxed structure of VRuPt2 (PBE, the Alexandria database).

Computed properties:
Symmetry: I-42d
Fermi-level density of states (states/eV per cell): 14.00

POSCAR file:
```
VRuPt2
1.0
3.7379 0.0000 0.0000
0.0000 3.7379 0.0000
0.0000 0.0000 18.1655
V Ru Pt
4 4 8
Cartesian
0.0000 0.0000 0.0000
0.0000 1.8690 4.5414
1.8690 0.0000 13.6241
1.8690 1.8690 9.0827
0.0000 0.0000 9.0827
0.0000 1.8690 13.6241
1.8690 0.0000 4.5414
1.8690 1.8690 0.0000
0.9324 0.9345 11.3534
0.9345 2.8013 15.8948
0.9345 2.8055 6.8120
0.9366 0.9345 2.2707
2.8013 2.8034 2.2707
2.8034 0.9324 6.8120
2.8034 0.9366 15.8948
2.8055 2.8034 11.3534
```

=====

Entry 11:
# V2RuPt

A relaxed structure of V2RuPt (PBE, the Alexandria database).

Computed properties:
Symmetry: C2/m
Fermi-level density of states (states/eV per cell): 13.18

POSCAR file:
```
V2RuPt
1.0
8.9722 0.0000 0.0000
0.0000 5.6520 0.0000
-0.5869 0.0000 4.4123
V Ru Pt
8 4 4
Cartesian
0.7786 1.3646 0.9032
0.7786 4.2874 0.9032
3.1206 1.4614 3.5091
3.1206 4.1906 3.5091
5.2647 1.4614 0.9032
5.2647 4.1906 0.9032
7.6067 1.3646 3.5091
7.6067 4.2874 3.5091
0.8519 0.0000 3.1800
3.0473 2.8260 1.2322
5.3380 2.8260 3.1800
7.5335 0.0000 1.2322
0.8732 2.8260 3.1352
3.0261 0.0000 1.2771
5.3593 0.0000 3.1352
7.5122 2.8260 1.2771
```

=====

Entry 12:
# RuPtW

A relaxed structure of RuPtW (PBE, the Alexandria database).

Computed properties:
Symmetry: I4mm
Energy above the most stable polymorph in this dataset (meV/atom): 34
Fermi-level density of states (states/eV per cell): 3.65

POSCAR file:
```
RuPtW
1.0
2.7803 0.0000 0.0000
0.0000 2.7803 0.0000
0.0000 0.0000 11.7796
Ru Pt W
2 2 2
Cartesian
0.0000 0.0000 0.0000
1.3902 1.3902 5.8898
0.0000 0.0000 3.8283
1.3902 1.3902 9.7181
0.0000 0.0000 7.7177
1.3902 1.3902 1.8279
```

=====

Looking at formation energy from the elements for the records above, in order, we have -209; -237; -253; -247; -260; -386; -365; -400; 67; 86; -411; -130 meV/atom.